Compound: TmMgZn11
Source: the Alexandria database
Functional: PBE
Structure: relaxed

## Properties
Volume ... 210.3 Å³ per cell
Formation enthalpy at 0 K ... -0.14 eV/atom
Energy ... -1.689 eV/atom
Space group ... C2/m, No. 12

Cell lengths 5.3699, 6.8491, 6.7851 Å; angles 80.96, 66.69, 66.61 degrees
Closest atoms and distances in Å follow each position.
Fractional positions:
Tm1 0.0000 0.0000 0.0000  18 Zn 3.13-3.42, 2 Mg 3.41
Mg1 0.5000 0.5000 0.0000  10 Zn 2.65-2.78
Zn1 0.2806 0.2122 0.2176  7 Zn 2.58-2.88, 1 Mg 2.65
Zn2 0.7194 0.7878 0.7824  7 Zn 2.58-2.88, 1 Mg 2.65
Zn3 0.5018 0.7878 0.2176  7 Zn 2.58-2.88, 1 Mg 2.65
Zn4 0.4982 0.2122 0.7824  7 Zn 2.58-2.88, 1 Mg 2.65
Zn5 0.3449 0.6505 0.6430  7 Zn 2.60-2.89, 1 Mg 2.78
Zn6 0.6551 0.3495 0.3570  7 Zn 2.60-2.89, 1 Mg 2.78
Zn7 0.0121 0.3495 0.6430  7 Zn 2.60-2.89, 1 Mg 2.78
Zn8 0.9879 0.6505 0.3570  7 Zn 2.60-2.89, 1 Mg 2.78
Zn9 0.0000 0.5000 0.0000  8 Zn 2.61-2.75, 2 Mg 2.68
Zn10 0.5000 0.0000 0.5000  10 Zn 2.58-2.75
Zn11 0.0000 0.0000 0.5000  10 Zn 2.58-2.75

Compound: TmMgZn
Source: the Alexandria database
Functional: PBE
Structure: relaxed

## Properties
Volume ... 73.7 Å³ per cell
Formation enthalpy at 0 K ... -0.04 eV/atom
Energy ... -2.482 eV/atom
Space group ... F-43m, No. 216

Cell lengths 4.7061, 4.7061, 4.7061 Å; angles 60.00, 60.00, 60.00 degrees
Closest atoms and distances in Å follow each position.
Fractional positions:
Zn1 0.2500 0.2500 0.2500  4 Mg 2.88, 4 Tm 2.88
Tm1 0.0000 0.0000 0.0000  4 Zn 2.88
Mg1 0.5000 0.5000 0.5000  4 Zn 2.88

Compound: TmMg8Zn4
Source: the Alexandria database
Functional: PBE
Structure: relaxed

## Properties
Volume ... 260.8 Å³ per cell
Formation enthalpy at 0 K ... -0.11 eV/atom
Energy ... -1.824 eV/atom
Space group ... I4/mmm, No. 139

Cell lengths 5.5733, 7.3859, 7.3859 Å; angles 81.82, 67.83, 67.83 degrees
Closest atoms and distances in Å follow each position.
Fractional positions:
Tm1 0.0000 0.0000 0.0000  12 Mg 3.34-3.47, 8 Zn 3.69
Mg1 0.0000 0.3448 0.6552  4 Zn 2.94, 5 Mg 3.00-3.15
Mg2 0.0000 0.6552 0.3448  4 Zn 2.94, 5 Mg 3.00-3.15
Mg3 0.3448 0.6552 0.6552  4 Zn 2.94, 5 Mg 3.00-3.15
Mg4 0.6552 0.3448 0.3448  4 Zn 2.94, 5 Mg 3.00-3.15
Mg5 0.5000 0.7868 0.2132  4 Zn 2.81, 4 Mg 2.92-3.06
Mg6 0.5000 0.2132 0.7868  4 Zn 2.81, 4 Mg 2.92-3.06
Mg7 0.2868 0.2132 0.2132  4 Zn 2.81, 4 Mg 2.92-3.06
Mg8 0.7132 0.7868 0.7868  4 Zn 2.81, 4 Mg 2.92-3.06
Zn1 0.0000 0.0000 0.5000  2 Zn 2.79, 8 Mg 2.81-2.94
Zn2 0.5000 0.0000 0.5000  2 Zn 2.79, 8 Mg 2.81-2.94
Zn3 0.0000 0.5000 0.0000  2 Zn 2.79, 8 Mg 2.81-2.94
Zn4 0.5000 0.5000 0.0000  2 Zn 2.79, 8 Mg 2.81-2.94